{"formula": "LiPa2Rh", "functional": "PBE", "state": "optimized geometry", "formation_energy_mev_per_atom": 88, "magmom_total_mub_per_fu": 0.00, "e_tot_ev_per_atom": -6.98, "crystal_system": "trigonal", "cell": [[1.532, 0.885, 10.991], [-1.532, 0.885, 10.991], [0.000, -1.769, 10.991]], "species": ["Li", "Pa", "Pa", "Rh"], "frac_coords": [[0.000, 0.000, 0.000], [0.095, 0.095, 0.095], [0.905, 0.905, 0.905], [0.500, 0.500, 0.500]]}